The following is a DFT calculation (PBE-GGA) of LiYTe2 after structural relaxation.

Lattice parameters (Å, degrees): 6.683 6.683 13.403 90.00 90.00 90.00
Space group I-42d (No. 122)
One atom of each set of equivalent atoms:
Li  0.000  0.000  0.000
Y  0.000  0.000  0.500
Te  0.234  0.250  0.125

Summary:
Uncorrected formation energy   -1.11 eV/atom
E   -4.775 eV per atom



The following is a DFT calculation (PBE-GGA) of BaTlZnAg after structural relaxation.

Lattice parameters (Å, degrees): 7.653 7.653 7.653 90.00 90.00 90.00
Space group F-43m (No. 216)
One atom of each set of equivalent atoms:
Ba  0.000  0.000  0.000
Tl  0.000  0.000  0.500
Zn  0.250  0.250  0.250
Ag  0.250  0.250  0.750

Summary:
Energy of formation from the pure elements   -0.126 eV per atom
E   -2.229 eV per atom



The following is a DFT calculation (PBE-GGA) of Ti2Nb6Tc after structural relaxation.

Lattice parameters (Å, degrees): 7.136 14.086 3.205 90.00 100.04 90.00
Space group C2/m (No. 12)
One atom of each set of equivalent atoms:
Ti  0.000  0.150  0.000
Nb  0.164  0.334  0.327
Nb  0.173  0.500  0.828
Tc  0.000  0.000  0.500

Summary:
Energy of formation from the pure elements   -0.034 eV per atom
E   -9.654 eV per atom



The following is a DFT calculation (PBE-GGA) of Np2BrO8 after structural relaxation.

Lattice parameters (Å, degrees): 7.412 14.200 3.880 90.00 90.17 90.00
Space group C2/m (No. 12)
One atom of each set of equivalent atoms:
Np  0.000  0.148  0.000
Br  0.000  0.500  0.500
O  0.000  0.000  0.322
O  0.000  0.203  0.500
O  0.241  0.148  0.002

Summary:
Uncorrected formation energy   -1.73 eV/atom
E   -7.837 eV per atom



The following is a DFT calculation (PBE-GGA) of RuPtCl3 after structural relaxation.

Lattice parameters (Å, degrees): 4.894 4.894 4.894 90.00 90.00 90.00
Space group Pm-3m (No. 221)
One atom of each set of equivalent atoms:
Ru  0.000  0.000  0.000
Pt  0.500  0.500  0.500
Cl  0.000  0.500  0.500

Summary:
Uncorrected formation energy   0.67 eV/atom
E   -3.502 eV per atom



The following is a DFT calculation (PBE-GGA) of LiAc3In2Pd6 after structural relaxation.

Lattice parameters (Å, degrees): 5.9549 5.9549 8.9826 90.00 90.00 120.00
Space group P-3m1 (No. 164)
One atom of each set of equivalent atoms:
Li  0.0000  0.0000  0.0000
Ac  0.0000  0.0000  0.5000
Ac  0.3333  0.6667  0.1254
In  0.3333  0.6667  0.5366
Pd  0.1706  0.3412  0.7926

Summary:
Energy of formation from the pure elements   -0.652 eV per atom
E   -4.891 eV per atom



The following is a DFT calculation (PBE-GGA) of Cs3BiRu after structural relaxation.

Lattice parameters (Å, degrees): 5.938 5.938 5.938 90.00 90.00 90.00
Space group Pm-3m (No. 221)
One atom of each set of equivalent atoms:
Cs  0.000  0.000  0.500
Bi  0.500  0.500  0.500
Ru  0.000  0.000  0.000

Summary:
Energy of formation from the pure elements   0.777 eV per atom
E   -2.366 eV per atom



The following is a DFT calculation (PBE-GGA) of CsBN2F after structural relaxation.

Lattice parameters (Å, degrees): 3.418 3.418 6.393 90.00 90.00 90.00
Space group P4/mmm (No. 123)
One atom of each set of equivalent atoms:
Cs  0.000  0.000  0.000
B  0.500  0.500  0.500
N  0.000  0.500  0.500
F  0.500  0.500  0.000

Summary:
Uncorrected formation energy   0.48 eV/atom
E   -4.726 eV per atom



The following is a DFT calculation (PBE-GGA) of KGaSi after structural relaxation.

Lattice parameters (Å, degrees): 5.815 5.815 12.588 90.00 90.00 90.00
Space group P4_122 (No. 91)
One atom of each set of equivalent atoms:
K  0.000  0.240  0.000
Ga  0.349  0.349  0.375
Si  0.095  0.500  0.250

Summary:
Uncorrected formation energy   0.21 eV/atom
E   -2.974 eV per atom



The following is a DFT calculation (PBE-GGA) of Ta3SnPt after structural relaxation.

Lattice parameters (Å, degrees): 4.900 4.900 4.900 90.00 90.00 90.00
Space group Pm-3m (No. 221)
One atom of each set of equivalent atoms:
Ta  0.000  0.000  0.500
Sn  0.500  0.500  0.500
Pt  0.000  0.000  0.000

Summary:
Energy of formation from the pure elements   0.987 eV per atom
E   -8.134 eV per atom



The following is a DFT calculation (PBE-GGA) of Nd8Ge2Ru after structural relaxation.

Lattice parameters (Å, degrees): 18.890 4.705 7.349 90.00 99.21 90.00
Space group C2/m (No. 12)
One atom of each set of equivalent atoms:
Nd  0.011  0.000  0.278
Nd  0.097  0.500  0.002
Nd  0.151  0.500  0.511
Nd  0.217  0.000  0.843
Ge  0.181  0.000  0.255
Ru  0.000  0.500  0.500

Summary:
Energy of formation from the pure elements   -0.338 eV per atom
E   -5.488 eV per atom



The following is a DFT calculation (PBE-GGA) of Mg2BeSbO6 after structural relaxation.

Lattice parameters (Å, degrees): 5.0654 5.0654 14.9753 90.00 90.00 120.00
Space group R3 (No. 146, hexagonal axes)
One atom of each set of equivalent atoms:
Mg  0.0000  0.0000  0.0000
Mg  0.0000  0.0000  0.4976
Be  0.0000  0.0000  0.2289
Sb  0.0000  0.0000  0.8053
O  0.0010  0.6793  0.4083
O  0.0025  0.3745  0.5606

Summary:
Uncorrected formation energy   -1.96 eV/atom
E   -6.038 eV per atom